A relaxed PaMnAl crystal, computed with PBE-GGA.

Geometry as CIF:
```
data_PaMnAl
_space_group_name_H-M_alt 'P -6 m 2'
_space_group_IT_number 187
_space_group_name_Hall 'P -6 2'
_cell_length_a 4.5715
_cell_length_b 4.5715
_cell_length_c 3.1330
_cell_angle_alpha 90.00
_cell_angle_beta 90.00
_cell_angle_gamma 120.00
loop_
_atom_site_label
_atom_site_fract_x
_atom_site_fract_y
_atom_site_fract_z
Pa1 0.0000 0.0000 0.0000
Mn1 0.3333 0.6667 0.5000
Al1 0.6667 0.3333 0.5000
```

## Properties
Energy relative to the elements in meV per atom: -67
Uncorrected energy in eV/atom: -7.54